Material: HfScP2
Method: DFT, GGA-PBE
State: relaxed

Fermi-level density of states ... 5.1 states/eV/cell
E_tot ... -7.56 eV/atom
Polymorph energy (0 for the lowest one) ... 0.624 eV/atom

a = 7.1537 Å, b = 7.1537 Å, c = 7.1537 Å
α = 131.44°, β = 131.44°, γ = 71.11°
With the nearest neighbours (Å) after each atom.
Sites, in units of the cell vectors:
Hf1 0.0000 0.0000 0.0000  4 P 2.51
Hf2 0.7500 0.2500 0.5000  4 P 2.51
Sc1 0.2500 0.7500 0.5000  4 P 2.56
Sc2 0.5000 0.5000 0.0000  4 P 2.56
P1 0.1174 0.6250 0.9924  2 Hf 2.51, 2 Sc 2.56
P2 0.3750 0.3674 0.4924  2 Hf 2.51, 2 Sc 2.56
P3 0.6326 0.1250 0.0076  2 Hf 2.51, 2 Sc 2.56
P4 0.8750 0.8826 0.5076  2 Hf 2.51, 2 Sc 2.56